DFT (GGA-PBEsol) results for a geometry-optimized LiCa2ZrCu structure.

**Energy**: -12.887 eV per cell
**Formation enthalpy at 0 K**: 1354 meV/atom

Cell lengths 4.844, 5.669, 5.669 Å; angles 90.00, 90.00, 90.00 degrees
Element x y z (fractional)
Ca  0.000  0.000  0.500
Ca  0.000  0.500  0.000
Cu  0.500  0.500  0.500
Zr  0.000  0.000  0.000
Li  0.500  0.000  0.000

DFT (GGA-PBEsol) results for a geometry-optimized LiCa3 structure.

**Energy**: -8.252 eV per cell
**Polymorph energy (0 for the lowest one)**: 0 meV per atom
**Formation enthalpy at 0 K**: 29 meV/atom

Cell lengths 3.988, 6.057, 6.981 Å; angles 115.71, 106.59, 90.00 degrees
Element x y z (fractional)
Ca  0.723  0.723  0.446
Ca  0.500  0.000  0.000
Ca  0.277  0.277  0.554
Li  0.000  0.500  0.000

DFT (GGA-PBEsol) results for a geometry-optimized CaYCd2 structure.

**Energy**: -12.848 eV per cell
**Formation enthalpy at 0 K**: -375 meV/atom

Cell lengths 5.244, 5.244, 5.244 Å; angles 60.00, 60.00, 60.00 degrees
Element x y z (fractional)
Y  0.500  0.500  0.500
Ca  0.000  0.000  0.000
Cd  0.750  0.750  0.750
Cd  0.250  0.250  0.250

DFT (GGA-PBEsol) results for a geometry-optimized NbAgW2 structure.

**Energy**: -39.135 eV per cell
**Formation enthalpy at 0 K**: 653 meV/atom

Cell lengths 4.522, 4.522, 4.522 Å; angles 60.00, 60.00, 60.00 degrees
Element x y z (fractional)
Nb  0.000  0.000  0.000
Ag  0.500  0.500  0.500
W  0.250  0.250  0.250
W  0.750  0.750  0.750

Number 1: total magnetic moment 2.3 μB per formula unit. Number 2: total magnetic moment 0.0 μB per formula unit. Number 3: total magnetic moment 0.0 μB per formula unit. Number 4: total magnetic moment 0.0 μB per formula unit.